i.
Be3InS | PBE | optimized geometry

Results
calculated volume	14.88	Å³/atom
space group	Pm-3m (221)

Cell lengths 4.2061, 4.2061, 4.2061 Å; angles 90.00, 90.00, 90.00 degrees
Last column: nearest neighbours and their distance in Å.
Element x y z (fractional)
Be (0.0000, 0.0000, 0.5000)  2 S 2.10
Be (0.0000, 0.5000, 0.0000)  2 S 2.10
Be (0.5000, 0.0000, 0.0000)  2 S 2.10
In (0.5000, 0.5000, 0.5000)  12 Be 2.97
S (0.0000, 0.0000, 0.0000)  6 Be 2.10


ii.
Be3InS | PBE | optimized geometry

Results
calculated volume	18.98	Å³/atom
space group	Pm-3m (221)

Cell lengths 4.5614, 4.5614, 4.5614 Å; angles 90.00, 90.00, 90.00 degrees
Last column: nearest neighbours and their distance in Å.
Element x y z (fractional)
Be (0.0000, 0.0000, 0.5000)  2 In 2.28
Be (0.0000, 0.5000, 0.0000)  2 In 2.28
Be (0.5000, 0.0000, 0.0000)  2 In 2.28
In (0.0000, 0.0000, 0.0000)  6 Be 2.28
S (0.5000, 0.5000, 0.5000)  12 Be 3.23


Among the structures above, stability is greatest for i.